1.
Entry from Alexandria via LeMat-Bulk: a relaxed H12PdRh6 crystal (PBE-GGA).

Cell: 5.296 5.296 5.296 Å, 99.94 99.94 99.94°
Positions (direct):
H 0.820 0.410 0.548
H 0.104 0.955 0.671
H 0.329 0.896 0.045
H 0.671 0.104 0.955
H 0.590 0.452 0.180
H 0.896 0.045 0.329
H 0.548 0.820 0.410
H 0.955 0.671 0.104
H 0.045 0.329 0.896
H 0.452 0.180 0.590
H 0.180 0.590 0.452
H 0.410 0.548 0.820
Pd 0.000 0.000 0.000
Rh 0.289 0.580 0.142
Rh 0.858 0.711 0.420
Rh 0.580 0.142 0.289
Rh 0.142 0.289 0.580
Rh 0.711 0.420 0.858
Rh 0.420 0.858 0.711

As for the crystal system: trigonal.

=====

2.
Entry from Alexandria via LeMat-Bulk: a relaxed Tm4TlRe crystal (PBE-GGA).

Cell: 6.125 7.765 7.765 Å, 112.29 99.42 99.42°
Positions (direct):
Tm 0.453 0.723 0.063
Tm 0.609 0.198 0.351
Tm 0.109 0.351 0.198
Tm 0.047 0.937 0.277
Tm 0.891 0.649 0.802
Tm 0.953 0.063 0.723
Tm 0.391 0.802 0.649
Tm 0.547 0.277 0.937
Tl 0.250 0.374 0.626
Tl 0.750 0.626 0.374
Re 0.250 0.000 0.000
Re 0.750 0.000 0.000

As for the crystal system: monoclinic. Its formation energy is -187 meV per atom.

=====

3.
Entry from Alexandria via LeMat-Bulk: a relaxed Cs2AgHg6 crystal (PBE-GGA).

Cell: 7.560 7.560 7.560 Å, 60.00 60.00 60.00°
Positions (direct):
Hg 0.722 0.278 0.722
Hg 0.722 0.278 0.278
Hg 0.278 0.722 0.278
Hg 0.722 0.722 0.278
Hg 0.278 0.722 0.722
Hg 0.278 0.278 0.722
Ag 0.000 0.000 0.000
Cs 0.250 0.250 0.250
Cs 0.750 0.750 0.750

As for the crystal system: cubic. Its formation energy is -154 meV per atom.

=====

4.
Entry from Alexandria via LeMat-Bulk: a relaxed Pr2PuNiS5 crystal (PBE-GGA).

Cell: 3.894 8.520 11.991 Å, 90.00 90.00 103.21°
Positions (direct):
Ni 0.448 0.897 0.421
Ni 0.552 0.103 0.921
S 0.697 0.395 0.189
S 0.980 0.961 0.507
S 0.316 0.632 0.365
S 0.020 0.039 0.007
S 0.505 0.010 0.251
S 0.684 0.368 0.865
S 0.495 0.990 0.751
S 0.344 0.689 0.020
S 0.656 0.311 0.520
S 0.303 0.605 0.689
Pr 0.117 0.235 0.696
Pr 0.116 0.232 0.347
Pr 0.883 0.765 0.196
Pr 0.884 0.768 0.847
Pu 0.179 0.358 0.027
Pu 0.821 0.642 0.527

As for the crystal system: orthorhombic. The value obtained for the raw formation energy is -1630 meV/atom.

=====

Number 1: final energy -0.347 Ry per atom. Number 2: final energy -0.414 Ry per atom. Number 3: final energy -0.063 Ry per atom. Number 4: final energy -0.531 Ry per atom.